The following is a DFT calculation (PBE-GGA) of a geometry-optimized SmScBi2 structure.

a = 4.3982 Å, b = 4.3985 Å, c = 7.4559 Å
α = 89.98°, β = 90.00°, γ = 120.00°
Sites, in units of the cell vectors:
Sm (0.0000, 0.5000, 0.5000)
Sc (0.0000, 0.5000, 0.0000)
Bi (0.6667, 0.8334, 0.7704)
Bi (0.3333, 0.1666, 0.2296)

Output
magnetic moment = 0.000 μB/f.u.
offset from the most stable computed form = 0.037 eV per atom
calculated formation energy = -0.75 eV/atom



The following is a DFT calculation (PBE-GGA) of a geometry-optimized Si2RhSe structure.

a = 4.5274 Å, b = 4.5274 Å, c = 3.1204 Å
α = 90.00°, β = 90.00°, γ = 104.51°
Sites, in units of the cell vectors:
Rh (0.5000, 0.0000, 0.5000)
Se (0.0000, 0.5000, 0.5000)
Si (0.0000, 0.0000, 0.0000)
Si (0.5000, 0.5000, 0.0000)

Output
magnetic moment = 0.000 μB/f.u.
E_form (uncorrected) = 0.213 eV per atom



Which value of magnetic moment does entry 1 give? 0.000 μB/f.u.



magnetic moment of number 2 (Si2RhSe)? 0.000 μB/f.u.